Below is a relaxed structure of NiIrF2, with properties calculated at the GGA+U level.

abc: 6.206 6.206 5.438
angles: 90.00 90.00 90.00
Space group I-42d (No. 122)
Unique sites:
Ni 0.000 0.000 0.000
Ir 0.000 0.000 0.500
F 0.182 0.250 0.125

Total magnetic moment: 14.0 Bohr magnetons per cell
Raw total energy: -3.841 eV/atom
Calculated density: 9.16 Mg/m³
Offset from the most stable computed form: 13.26 kJ per mole of atoms